A plane-wave DFT calculation with PBE was carried out for a geometry-optimized Ca2AgHgBr structure.

Cell lengths 5.884, 5.884, 5.196 Å; angles 90.00, 90.00, 90.00 degrees
Space group P4/mmm (No. 123)
One atom of each set of equivalent atoms:
1 Ca 0.000 0.500 0.000 (multiplicity 2)
2 Ag 0.000 0.000 0.500 (multiplicity 1)
3 Hg 0.000 0.000 0.000 (multiplicity 1)
4 Br 0.500 0.500 0.500 (multiplicity 1)

Raw formation energy: -0.319 eV/atom
E: -10.425 eV/cell